The following is a DFT calculation (PBE) of a relaxed structure of CaC3N.

Geometry as CIF:
```
data_CaC3N
_symmetry_space_group_name_H-M 'P m -3 m'
_symmetry_Int_Tables_number 221
_symmetry_space_group_name_Hall '-P 4 2 3'
_cell_length_a 4.598
_cell_length_b 4.598
_cell_length_c 4.598
_cell_angle_alpha 90.00
_cell_angle_beta 90.00
_cell_angle_gamma 90.00
loop_
_atom_site_label
_atom_site_type_symbol
_atom_site_fract_x
_atom_site_fract_y
_atom_site_fract_z
_atom_site_occupancy
Ca1 Ca 0.000 0.000 0.000 1
C1 C 0.000 0.000 0.500 1
N1 N 0.500 0.500 0.500 1
```

Properties
formation energy from raw total energies = 4656 meV/atom
volume = 97 Å³/cell
magnetic moment = 2.6 Bohr magnetons per cell
E above lowest polymorph = 182.3 kJ per mole of atoms

***

The following is a DFT calculation (PBE) of a relaxed structure of CaRe2Se.

Geometry as CIF:
```
data_CaRe2Se
_symmetry_space_group_name_H-M 'P 1 2/m 1'
_symmetry_Int_Tables_number 10
_symmetry_space_group_name_Hall '-P 2y'
_cell_length_a 3.288
_cell_length_b 5.303
_cell_length_c 4.371
_cell_angle_alpha 90.00
_cell_angle_beta 91.38
_cell_angle_gamma 90.00
loop_
_atom_site_label
_atom_site_type_symbol
_atom_site_fract_x
_atom_site_fract_y
_atom_site_fract_z
_atom_site_occupancy
Ca1 Ca 0.000 0.000 0.000 1
Re1 Re 0.317 0.500 0.746 1
Se1 Se 0.500 0.000 0.500 1
```

Properties
formation energy from raw total energies = 419 meV/atom
volume = 76 Å³/cell
magnetic moment = 0.0 Bohr magnetons per cell

***

The following is a DFT calculation (PBE) of a relaxed structure of Pu5Pd2Rh2.

Geometry as CIF:
```
data_Pu5Pd2Rh2
_symmetry_space_group_name_H-M 'C m c e'
_symmetry_Int_Tables_number 64
_symmetry_space_group_name_Hall '-C 2ac 2'
_cell_length_a 14.625
_cell_length_b 7.520
_cell_length_c 7.455
_cell_angle_alpha 90.00
_cell_angle_beta 90.00
_cell_angle_gamma 90.00
loop_
_atom_site_label
_atom_site_type_symbol
_atom_site_fract_x
_atom_site_fract_y
_atom_site_fract_z
_atom_site_occupancy
Pu1 Pu 0.000 0.000 0.000 1
Pu2 Pu 0.135 0.177 0.329 1
Pd1 Pd 0.212 0.000 0.000 1
Rh1 Rh 0.000 0.132 0.633 1
```

Properties
volume = 820 Å³/cell
DFT formation energy = -0.363 eV/atom
magnetic moment = 107.8 Bohr magnetons per cell
E above lowest polymorph = 0.0 kJ per mole of atoms

***

The following is a DFT calculation (PBE) of a relaxed structure of RbTbGeO4.

Geometry as CIF:
```
data_RbTbGeO4
_symmetry_space_group_name_H-M 'P 1 21/m 1'
_symmetry_Int_Tables_number 11
_symmetry_space_group_name_Hall '-P 2yb'
_cell_length_a 5.794
_cell_length_b 5.932
_cell_length_c 7.740
_cell_angle_alpha 90.00
_cell_angle_beta 107.98
_cell_angle_gamma 90.00
loop_
_atom_site_label
_atom_site_type_symbol
_atom_site_fract_x
_atom_site_fract_y
_atom_site_fract_z
_atom_site_occupancy
Rb1 Rb 0.190 0.250 0.432 1
Tb1 Tb 0.297 0.250 0.962 1
Ge1 Ge 0.244 0.750 0.157 1
O1 O 0.034 0.750 0.935 1
O2 O 0.053 0.750 0.296 1
O3 O 0.456 0.523 0.173 1
```

Properties
formation energy from raw total energies = -2377 meV/atom
volume = 253 Å³/cell
magnetic moment = 0.0 Bohr magnetons per cell

***

The following is a DFT calculation (PBE) of a relaxed structure of Nd5Zr3Ni16As12.

Geometry as CIF:
```
data_Nd5Zr3Ni16As12
_symmetry_space_group_name_H-M 'P -6 2 m'
_symmetry_Int_Tables_number 189
_symmetry_space_group_name_Hall 'P -6 -2'
_cell_length_a 12.8623
_cell_length_b 12.8623
_cell_length_c 4.0110
_cell_angle_alpha 90.00
_cell_angle_beta 90.00
_cell_angle_gamma 120.00
loop_
_atom_site_label
_atom_site_type_symbol
_atom_site_fract_x
_atom_site_fract_y
_atom_site_fract_z
_atom_site_occupancy
Nd1 Nd 0.0000 0.1883 0.0000 1
Nd2 Nd 0.3333 0.6667 0.5000 1
Zr1 Zr 0.0000 0.5701 0.5000 1
Ni1 Ni 0.0000 0.0000 0.5000 1
Ni2 Ni 0.0000 0.7249 0.0000 1
Ni3 Ni 0.1190 0.4861 0.0000 1
Ni4 Ni 0.1868 0.8077 0.5000 1
As1 As 0.0000 0.3634 0.5000 1
As2 As 0.0000 0.8202 0.5000 1
As3 As 0.1722 0.6978 0.0000 1
```

Properties
volume = 575 Å³/cell
DFT formation energy = -0.833 eV/atom
magnetic moment = 0.0 Bohr magnetons per cell

***

The following is a DFT calculation (PBE) of a relaxed structure of Tm6Ag3Hg.

Geometry as CIF:
```
data_Tm6Ag3Hg
_symmetry_space_group_name_H-M 'P 1 21/m 1'
_symmetry_Int_Tables_number 11
_symmetry_space_group_name_Hall '-P 2yb'
_cell_length_a 9.127
_cell_length_b 4.929
_cell_length_c 11.769
_cell_angle_alpha 90.00
_cell_angle_beta 106.36
_cell_angle_gamma 90.00
loop_
_atom_site_label
_atom_site_type_symbol
_atom_site_fract_x
_atom_site_fract_y
_atom_site_fract_z
_atom_site_occupancy
Tm1 Tm 0.015 0.250 0.114 1
Tm2 Tm 0.147 0.250 0.716 1
Tm3 Tm 0.218 0.750 0.523 1
Tm4 Tm 0.342 0.750 0.115 1
Tm5 Tm 0.374 0.250 0.358 1
Tm6 Tm 0.390 0.750 0.846 1
Ag1 Ag 0.045 0.250 0.372 1
Ag2 Ag 0.161 0.750 0.270 1
Ag3 Ag 0.272 0.250 0.975 1
Hg1 Hg 0.429 0.250 0.639 1
```

Properties
volume = 508 Å³/cell
DFT formation energy = -0.249 eV/atom
magnetic moment = 0.0 Bohr magnetons per cell